! CdRu2Rh2 PBE optimized geometry; values from VASP
! Energy above the lowest structure with this stoichiometry   0.123 eV/atom
! Fermi-level density of states   3.9 states/eV per cell
! Symmetry   I4/mmm (139)
&SYSTEM
  ibrav = 0, nat = 5, ntyp = 3
/
ATOMIC_SPECIES
Rh 102.91 Rh.upf
Cd 112.41 Cd.upf
Ru 101.07 Ru.upf
CELL_PARAMETERS angstrom
-0.7943 -3.4150 -1.6805
3.7091 -0.3094 -1.1243
2.6878 -4.5035 3.3836
ATOMIC_POSITIONS crystal
Rh 0.7500 0.2500 0.5000
Cd 0.0000 0.0000 0.0000
Ru 0.6011 0.6011 0.7979
Ru 0.3989 0.3989 0.2021
Rh 0.2500 0.7500 0.5000